Record 1
PBE-GGA LaMoW2, relaxed; E = -9.916 eV per atom; SG = No. 123; size of the total moment = 0.00 μB/cell; distance to the lowest polymorph of the same formula = 59 meV per atom; formation energy from the elements = 1.999 eV/f.u.; theoretical density = 12.6 Mg/m³
1.0
3.187 0.000 0.000
0.000 3.187 0.000
0.000 0.000 7.847
La Mo W
1 1 2
direct
0.000 0.000 0.000
0.000 0.000 0.500
0.500 0.500 0.309
0.500 0.500 0.691

Record 2
PBE-GGA LaMoW2, relaxed; E = -9.727 eV per atom; SG = No. 160; size of the total moment = 0.00 μB/cell; distance to the lowest polymorph of the same formula = 249 meV per atom; formation energy from the elements = 2.759 eV/f.u.; theoretical density = 12.8 Mg/m³
1.0
3.074 0.000 0.000
-1.537 2.662 0.000
0.000 0.000 28.640
La Mo W
3 3 6
direct
0.000 0.000 0.000
0.333 0.667 0.667
0.667 0.333 0.333
0.000 0.000 0.763
0.333 0.667 0.429
0.667 0.333 0.096
0.000 0.000 0.237
0.000 0.000 0.499
0.333 0.667 0.166
0.333 0.667 0.904
0.667 0.333 0.570
0.667 0.333 0.832

Record 3
PBE-GGA LaMoW2, relaxed; E = -9.812 eV per atom; SG = No. 10; size of the total moment = 0.00 μB/cell; distance to the lowest polymorph of the same formula = 164 meV per atom; formation energy from the elements = 2.418 eV/f.u.; theoretical density = 12.2 Mg/m³
1.0
2.894 0.000 0.000
0.000 4.340 0.000
-1.364 0.000 6.533
La Mo W
1 1 2
direct
0.000 0.000 0.000
0.500 0.000 0.500
0.259 0.500 0.681
0.741 0.500 0.319

Record 4
PBE-GGA LaY2Mo, relaxed; E = -6.689 eV per atom; SG = No. 65; size of the total moment = 0.00 μB/cell; distance to the lowest polymorph of the same formula = 205 meV per atom; formation energy from the elements = 1.929 eV/f.u.; theoretical density = 6.5 Mg/m³
1.0
6.601 0.000 0.000
0.000 8.102 0.000
0.000 0.000 3.951
La Y Mo
2 4 2
direct
0.000 0.000 0.000
0.500 0.500 0.000
0.250 0.250 0.500
0.250 0.750 0.500
0.750 0.250 0.500
0.750 0.750 0.500
0.000 0.500 0.000
0.500 0.000 0.000

Question: The highest formation energy from the elements belongs to which entry?
Answer: number 2